A plane-wave DFT calculation with PBE was carried out for an optimized crystal structure of Rb2PaSbS6.

Values from the calculation:
Space-group type: R-3m
Crystal system: trigonal
Total moment in μB/f.u.: 0.000
Total energy in eV/atom: -5.000

a b c (Å): 13.0079 13.0079 13.0079
angles (deg): 32.89 32.89 32.89
Sites, in units of the cell vectors:
Rb 0.1269 0.1269 0.1269
Rb 0.2930 0.2930 0.2930
Rb 0.7070 0.7070 0.7070
Rb 0.8731 0.8731 0.8731
Pa 0.4117 0.4117 0.4117
Pa 0.5883 0.5883 0.5883
Sb 0.0000 0.0000 0.0000
Sb 0.5000 0.5000 0.5000
S 0.1411 0.6175 0.6175
S 0.2020 0.2020 0.7175
S 0.2020 0.7175 0.2020
S 0.2825 0.7980 0.7980
S 0.3825 0.3825 0.8589
S 0.3825 0.8589 0.3825
S 0.6175 0.1411 0.6175
S 0.6175 0.6175 0.1411
S 0.7175 0.2020 0.2020
S 0.7980 0.2824 0.7980
S 0.7980 0.7980 0.2824
S 0.8589 0.3825 0.3825